A relaxed Mn5Ge3S12 crystal. Source: the Alexandria database, functional PBE.

POSCAR file:
```
Mn5Ge3S12
1.0
-7.347 7.347 7.347
7.347 -7.347 7.347
7.347 7.347 -7.347
Mn Ge S
20 12 48
Cartesian
0.000 0.000 0.000
3.673 3.673 -3.673
3.673 -3.673 3.673
7.347 0.000 0.000
11.020 1.837 0.000
7.347 -3.673 5.510
5.510 7.347 -3.673
5.510 0.000 3.673
3.673 5.510 0.000
7.347 3.673 1.837
-3.673 3.673 3.673
0.000 7.347 0.000
0.000 0.000 7.347
3.673 3.673 3.673
0.000 3.673 5.510
3.673 1.837 7.347
1.837 7.347 3.673
1.837 0.000 11.020
0.000 11.020 1.837
-3.673 5.510 7.347
3.673 1.837 0.000
7.347 3.673 -1.837
1.837 0.000 3.673
9.183 0.000 3.673
0.000 3.673 1.837
3.673 -1.837 7.347
3.673 9.183 0.000
7.347 3.673 5.510
-1.837 7.347 3.673
5.510 7.347 3.673
0.000 3.673 9.183
3.673 5.510 7.347
2.234 -0.359 0.775
8.786 4.449 -4.032
9.581 0.359 0.775
8.786 -2.898 4.032
6.988 -0.775 2.234
11.379 -1.439 2.898
0.775 2.234 -0.359
10.245 3.314 -1.439
4.449 4.032 -1.439
6.571 2.234 0.359
-0.359 0.775 2.234
4.032 -1.439 4.449
6.988 6.571 -2.234
4.032 1.439 2.898
4.449 -4.032 8.786
6.571 -2.234 6.988
2.898 4.032 1.439
8.122 5.113 0.359
4.032 8.786 -2.898
6.988 0.775 5.113
2.234 6.988 -0.775
8.786 2.898 3.314
1.439 2.898 4.032
2.234 0.359 6.571
5.113 6.988 0.775
5.907 4.449 3.314
-1.439 4.449 4.032
5.113 0.359 8.122
0.359 6.571 2.234
3.314 -1.439 10.245
-0.775 2.234 6.988
4.449 3.314 5.907
0.775 9.581 0.359
2.898 11.379 -1.439
3.314 5.907 4.449
0.359 0.775 9.581
3.314 8.786 2.898
7.706 6.571 5.113
0.775 5.113 6.988
2.898 3.314 8.786
-2.898 4.032 8.786
6.571 5.113 7.706
-4.032 8.786 4.449
0.359 8.122 5.113
-1.439 10.245 3.314
-2.234 6.988 6.571
-1.439 2.898 11.379
5.113 7.706 6.571
```

Calculated values
Formation energy (no corrections) in eV/atom: -0.275
M_tot in μB/f.u.: 16.92
SG: No. 230
Uncorrected energy in eV per atom: -5.7363